Arrangement a

DFT (PBE) results for a relaxed CsNaTc crystal.

The structure in CIF format:
```
data_CsNaTc
_chemical_formula_sum 'Cs4 Na4 Tc4'
_space_group_name_H-M_alt 'F -4 3 m'
_space_group_IT_number 216
_space_group_name_Hall 'F -4 2 3'
_cell_length_a 7.933
_cell_length_b 7.933
_cell_length_c 7.933
_cell_angle_alpha 90.00
_cell_angle_beta 90.00
_cell_angle_gamma 90.00
loop_
_atom_site_label
_atom_site_type_symbol
_atom_site_fract_x
_atom_site_fract_y
_atom_site_fract_z
Cs1 Cs 0.000 0.000 0.000
Na1 Na 0.250 0.250 0.750
Tc1 Tc 0.250 0.250 0.250
```

Arrangement b

DFT (PBE) results for a relaxed CsNaTc crystal.

The structure in CIF format:
```
data_CsNaTc
_chemical_formula_sum 'Cs4 Na4 Tc4'
_space_group_name_H-M_alt 'F -4 3 m'
_space_group_IT_number 216
_space_group_name_Hall 'F -4 2 3'
_cell_length_a 7.979
_cell_length_b 7.979
_cell_length_c 7.979
_cell_angle_alpha 90.00
_cell_angle_beta 90.00
_cell_angle_gamma 90.00
loop_
_atom_site_label
_atom_site_type_symbol
_atom_site_fract_x
_atom_site_fract_y
_atom_site_fract_z
Cs1 Cs 0.000 0.000 0.000
Na1 Na 0.250 0.250 0.250
Tc1 Tc 0.000 0.000 0.500
```

Quick one: most stable of them? arrangement b